The following is a DFT calculation (PBE-GGA) of a relaxed structure of Sr2NbTeCl.

Computed properties:
- Size of the total moment: 0.49 μB per atom
- Volume: 181 Å³ per cell
- Formation energy from raw total energies: -0.204 eV per atom

Cell and atoms, written as POSCAR:
```
Sr2NbTeCl
1.0
6.202 0.000 0.000
0.000 6.202 0.000
0.000 0.000 4.703
Sr Nb Te Cl
2 1 1 1
Cartesian
0.000 3.101 0.000
3.101 0.000 0.000
0.000 0.000 0.000
3.101 3.101 2.351
0.000 0.000 2.351
```

---

The following is a DFT calculation (PBE-GGA) of a relaxed structure of SrTiNb2Cl.

Computed properties:
- Size of the total moment: 0.26 μB per atom
- Volume: 134 Å³ per cell
- Formation energy from raw total energies: 0.688 eV per atom

Cell and atoms, written as POSCAR:
```
SrTiNb2Cl
1.0
4.746 0.000 0.000
0.000 4.746 0.000
0.000 0.000 5.937
Sr Ti Nb Cl
1 1 2 1
Cartesian
0.000 0.000 0.000
2.373 2.373 2.969
0.000 2.373 2.969
2.373 0.000 2.969
2.373 2.373 0.000
```

---

The following is a DFT calculation (PBE-GGA) of a relaxed structure of TaNbCl2.

Computed properties:
- Size of the total moment: 0.00 μB per atom
- Volume: 214 Å³ per cell
- Energy above the most stable polymorph in this dataset: 0 meV/atom
- Formation energy from raw total energies: -0.135 eV per atom

Cell and atoms, written as POSCAR:
```
TaNbCl2
1.0
3.067 0.000 0.000
-1.533 2.656 0.000
0.000 0.000 26.326
Ta Nb Cl
3 3 6
Cartesian
0.000 0.000 0.000
0.000 1.770 17.550
1.533 0.885 8.775
0.000 0.000 13.163
0.000 1.770 4.388
1.533 0.885 21.938
0.000 0.000 2.523
0.000 0.000 23.802
0.000 1.770 15.027
0.000 1.770 20.074
1.533 0.885 6.252
1.533 0.885 11.299
```

---

- Number 3 is which compound?
  TaNbCl2

---

- Which of these has the highest size of the total moment?
  Sr2NbTeCl

---

- Which formula does entry 3 have?
  TaNbCl2

---

- Among the records above, which one has the highest size of the total moment?
  Sr2NbTeCl